1.
DFT (PBE) results for a geometry-optimized KDySnS3 structure.

Values from the calculation:
Spin magnetization = 0.0 μB per formula unit
ρ = 3.90 g/cm3
E_tot = -5.057 eV per atom
Calculated volume = 709 Å³/cell

a = 14.7692 Å, b = 4.0230 Å, c = 11.9401 Å
α = 90.00°, β = 90.00°, γ = 90.00°
Space group Pnma (No. 62)
Asymmetric unit:
K 0.2343 0.2500 0.1052
Dy 0.0009 0.7500 0.6423
Sn 0.0458 0.2500 0.9051
S 0.0856 0.7500 0.2330
S 0.1000 0.2500 0.5457
S 0.1318 0.7500 0.8128


2.
DFT (PBE) results for a geometry-optimized KDyZnS3 structure.

Values from the calculation:
Spin magnetization = 0.0 μB per formula unit
ρ = 4.21 g/cm3
E_tot = -4.570 eV per atom
Calculated volume = 573 Å³/cell

a = 17.3323 Å, b = 4.0260 Å, c = 8.4229 Å
α = 90.00°, β = 102.91°, γ = 90.00°
Space group C2/m (No. 12)
Asymmetric unit:
K 0.1436 0.0000 0.0705
Dy 0.1686 0.0000 0.5755
Zn 0.0225 0.5000 0.7354
S 0.0000 0.0000 0.5000
S 0.0000 0.5000 0.0000
S 0.1608 0.5000 0.7894
S 0.1707 0.5000 0.3612


3.
DFT (PBE) results for a geometry-optimized KDyZnS3 structure.

Values from the calculation:
Spin magnetization = 0.0 μB per formula unit
ρ = 3.87 g/cm3
E_tot = -4.712 eV per atom
Calculated volume = 311 Å³/cell

a = 8.5818 Å, b = 3.9811 Å, c = 9.5542 Å
α = 90.00°, β = 107.48°, γ = 90.00°
Space group P2_1/m (No. 11)
Asymmetric unit:
K 0.2189 0.2500 0.2450
Dy 0.3258 0.7500 0.8615
Zn 0.0833 0.2500 0.6085
S 0.1012 0.2500 0.8539
S 0.2025 0.7500 0.5413
S 0.4615 0.7500 0.1543


- Look up the spin magnetization of the third one.
  0.0 μB per formula unit